{
  "formula": "Rb2InAsBr6",
  "functional": "GGA-PBE",
  "state": "optimized geometry",
  "cell": [[0.0000, 5.7014, 5.7014], [5.7014, 0.0000, 5.7014], [5.7014, 5.7014, 0.0000]],
  "species": ["Rb", "Rb", "In", "As", "Br", "Br", "Br", "Br", "Br", "Br"],
  "fractional_positions": [[0.2500, 0.2500, 0.2500], [0.7500, 0.7500, 0.7500], [0.0000, 0.0000, 0.0000], [0.5000, 0.5000, 0.5000], [0.2642, 0.2642, 0.7358], [0.2642, 0.7358, 0.2642], [0.2642, 0.7358, 0.7358], [0.7358, 0.2642, 0.2642], [0.7358, 0.2642, 0.7358], [0.7358, 0.7358, 0.2642]],
  "dos_at_fermi_per_ev_fu": 0.14,
  "magmom_total_mub_per_fu": 0.00,
  "spacegroup": "Fm-3m, No. 225",
  "formation_energy_uncorrected_ev_per_atom": -1.021,
  "energy_ev_per_fu": -29.573
}